(1)
# CaAgSN2 GGA-PBE relaxed
data_CaAgSN2
_chemical_formula_sum 'Ca1 Ag1 S1 N2'
_symmetry_space_group_name_H-M 'P 1'
_symmetry_Int_Tables_number 1
_cell_length_a 4.542
_cell_length_b 4.542
_cell_length_c 5.557
_cell_angle_alpha 90.00
_cell_angle_beta 90.00
_cell_angle_gamma 90.00
loop_
_symmetry_equiv_pos_as_xyz
'x,y,z'
loop_
_atom_site_label
_atom_site_type_symbol
_atom_site_fract_x
_atom_site_fract_y
_atom_site_fract_z
Ca1 Ca 0.000 0.000 0.000
Ag1 Ag 0.500 0.500 0.500
S1 S 0.000 0.000 0.500
N1 N 0.000 0.500 0.000
N2 N 0.500 0.000 0.000
# - Energy above the most stable polymorph in this dataset: 0.504 eV/atom
# - Space-group type: P4/mmm, No. 123
# - Energy relative to the elements, uncorrected: 1.35 eV per atom
# - Calculated density: 3.01 g/cm3
# - Calculated total energy: -3.775 eV per atom

(2)
# Sm3Y7Er GGA-PBE relaxed
data_Sm3Y7Er
_chemical_formula_sum 'Sm3 Y7 Er1'
_symmetry_space_group_name_H-M 'P 1'
_symmetry_Int_Tables_number 1
_cell_length_a 7.107
_cell_length_b 7.107
_cell_length_c 8.658
_cell_angle_alpha 90.00
_cell_angle_beta 90.00
_cell_angle_gamma 120.00
loop_
_symmetry_equiv_pos_as_xyz
'x,y,z'
loop_
_atom_site_label
_atom_site_type_symbol
_atom_site_fract_x
_atom_site_fract_y
_atom_site_fract_z
Sm1 Sm 0.167 0.334 0.000
Sm2 Sm 0.167 0.833 0.000
Sm3 Sm 0.666 0.833 0.000
Y1 Y 0.000 0.000 0.663
Y2 Y 0.002 0.501 0.663
Y3 Y 0.332 0.166 0.334
Y4 Y 0.499 0.501 0.663
Y5 Y 0.499 0.998 0.663
Y6 Y 0.834 0.166 0.334
Y7 Y 0.834 0.668 0.334
Er1 Er 0.333 0.667 0.336
# - Energy above the most stable polymorph in this dataset: 0.042 eV/atom
# - Space-group type: P3m1, No. 156
# - Calculated density: 5.44 g/cm3
# - Calculated total energy: -5.630 eV per atom